PmPr3 after structural relaxation, computed with PBE-GGA.

## Properties
The calculation puts the formation energy at 0.03 eV/atom.

Lattice parameters (Å, degrees): 3.7119 6.4493 7.0819 117.09 105.19 90.00
Positions (direct):
Pr: 0.7494 0.0802 0.4988
Pr: 0.5000 0.5024 0.0000
Pr: 0.2506 0.5814 0.5012
Pm: 0.0000 0.0026 0.0000


Pm5Pr6 after structural relaxation, computed with PBE-GGA.

## Properties
The calculation puts the formation energy at 0.10 eV/atom.

Lattice parameters (Å, degrees): 5.7508 10.2032 9.5929 122.13 107.41 55.76
Positions (direct):
Pr: 0.7940 0.0682 0.7240
Pr: 0.2060 0.9318 0.2760
Pr: 0.7067 0.7932 0.0000
Pr: 0.2933 0.2068 0.0000
Pr: 0.7940 0.3441 0.2760
Pr: 0.2060 0.6559 0.7240
Pm: 0.0000 0.6601 0.3201
Pm: 0.5000 0.7989 0.5978
Pm: 0.0000 0.3399 0.6799
Pm: 0.5000 0.5000 0.0000
Pm: 0.5000 0.2011 0.4022


Pm3Pr8 after structural relaxation, computed with PBE-GGA.

## Properties
The calculation puts the formation energy at 0.42 eV/atom.

Lattice parameters (Å, degrees): 7.3824 7.3824 7.3824 85.25 85.25 85.25
Positions (direct):
Pm: 0.5000 0.0000 0.5000
Pm: 0.5000 0.5000 0.0000
Pm: 0.0000 0.5000 0.5000
Pr: 0.3069 0.1474 0.8882
Pr: 0.1118 0.6931 0.8526
Pr: 0.6198 0.6198 0.6198
Pr: 0.3802 0.3802 0.3802
Pr: 0.6931 0.8526 0.1118
Pr: 0.8882 0.3069 0.1474
Pr: 0.8526 0.1118 0.6931
Pr: 0.1474 0.8882 0.3069


Pm3Pr4 after structural relaxation, computed with PBE-GGA.

## Properties
The calculation puts the formation energy at 0.01 eV/atom.

Lattice parameters (Å, degrees): 5.2185 6.3886 8.2502 82.65 90.00 114.11
Positions (direct):
Pm: 0.0000 0.0000 0.0000
Pm: 0.2855 0.5710 0.1414
Pm: 0.7145 0.4290 0.8586
Pr: 0.8568 0.7136 0.4277
Pr: 0.5713 0.1425 0.2833
Pr: 0.1432 0.2864 0.5723
Pr: 0.4287 0.8575 0.7167


| no. | final energy (Ry per atom) | E above lowest polymorph (eV per atom) | magnetic moment (μB/atom) |
| --- | --- | --- | --- |
| 1 | -0.3484 | 0.0197 | 0.00 |
| 2 | -0.3427 | 0.0000 | 0.00 |
| 3 | -0.3196 | 0.4099 | 0.00 |
| 4 | -0.3494 | 0.0000 | 0.00 |